(1)
# AcCu4Re3 | OQMD via LeMat-Bulk | PBE | optimized geometry
# **Energy of formation from the pure elements**: 1284 meV per atom
# **Crystal system**: tetragonal
# **Space-group type**: I4/mmm
data_AcCu4Re3
_chemical_formula_sum 'Ac1 Cu4 Re3'
_cell_length_a 6.382
_cell_length_b 6.382
_cell_length_c 6.382
_cell_angle_alpha 132.46
_cell_angle_beta 132.46
_cell_angle_gamma 69.50
_space_group_name_H-M_alt 'P 1'
_space_group_IT_number 1
_space_group_name_Hall 'P 1'
loop_
_atom_site_label
_atom_site_type_symbol
_atom_site_fract_x
_atom_site_fract_y
_atom_site_fract_z
Cu1 Cu 0.272 0.272 0.000
Cu2 Cu 0.728 0.728 0.000
Cu3 Cu 0.500 0.000 0.500
Cu4 Cu 0.000 0.500 0.500
Ac1 Ac 0.000 0.000 0.000
Re1 Re 0.250 0.750 0.500
Re2 Re 0.500 0.500 0.000
Re3 Re 0.750 0.250 0.500

=====

(2)
# NdSbPbI2 | OQMD via LeMat-Bulk | PBE | optimized geometry
# **Crystal system**: trigonal
# **Space-group type**: P3m1
data_NdSbPbI2
_chemical_formula_sum 'Nd1 Sb1 Pb1 I2'
_cell_length_a 4.538
_cell_length_b 4.538
_cell_length_c 11.324
_cell_angle_alpha 90.00
_cell_angle_beta 90.00
_cell_angle_gamma 120.00
_space_group_name_H-M_alt 'P 1'
_space_group_IT_number 1
_space_group_name_Hall 'P 1'
loop_
_atom_site_label
_atom_site_type_symbol
_atom_site_fract_x
_atom_site_fract_y
_atom_site_fract_z
I1 I 0.333 0.667 0.666
I2 I 0.000 0.000 0.339
Pb1 Pb 0.333 0.667 0.163
Nd1 Nd 0.000 0.000 0.840
Sb1 Sb 0.667 0.333 0.993

=====

(3)
# AcTmPu | OQMD via LeMat-Bulk | PBE | optimized geometry
# **Energy of formation from the pure elements**: 905 meV per atom
# **Crystal system**: cubic
# **Space-group type**: F-43m
# **Excess energy over the best structure of this formula in the dataset**: 13.9 kJ/mol of atoms
data_AcTmPu
_chemical_formula_sum 'Ac1 Tm1 Pu1'
_cell_length_a 5.478
_cell_length_b 5.478
_cell_length_c 5.478
_cell_angle_alpha 60.00
_cell_angle_beta 60.00
_cell_angle_gamma 60.00
_space_group_name_H-M_alt 'P 1'
_space_group_IT_number 1
_space_group_name_Hall 'P 1'
loop_
_atom_site_label
_atom_site_type_symbol
_atom_site_fract_x
_atom_site_fract_y
_atom_site_fract_z
Tm1 Tm 0.750 0.750 0.750
Pu1 Pu 0.250 0.250 0.250
Ac1 Ac 0.000 0.000 0.000

=====

(4)
# ZnTe2Ir | OQMD via LeMat-Bulk | PBE | optimized geometry
# **Crystal system**: cubic
# **Space-group type**: F-43m
data_ZnTe2Ir
_chemical_formula_sum 'Zn1 Te2 Ir1'
_cell_length_a 4.891
_cell_length_b 4.891
_cell_length_c 4.891
_cell_angle_alpha 60.00
_cell_angle_beta 60.00
_cell_angle_gamma 60.00
_space_group_name_H-M_alt 'P 1'
_space_group_IT_number 1
_space_group_name_Hall 'P 1'
loop_
_atom_site_label
_atom_site_type_symbol
_atom_site_fract_x
_atom_site_fract_y
_atom_site_fract_z
Zn1 Zn 0.500 0.500 0.500
Te1 Te 0.000 0.000 0.000
Te2 Te 0.750 0.750 0.750
Ir1 Ir 0.250 0.250 0.250

=====

(5)
# GdErZn2Sn2 | OQMD via LeMat-Bulk | PBE | optimized geometry
# **Crystal system**: hexagonal
# **Space-group type**: P6_3/mmc
# **Excess energy over the best structure of this formula in the dataset**: 0.0 kJ/mol of atoms
data_GdErZn2Sn2
_chemical_formula_sum 'Gd2 Er2 Zn4 Sn4'
_cell_length_a 4.501
_cell_length_b 4.501
_cell_length_c 15.796
_cell_angle_alpha 90.00
_cell_angle_beta 90.00
_cell_angle_gamma 120.00
_space_group_name_H-M_alt 'P 1'
_space_group_IT_number 1
_space_group_name_Hall 'P 1'
loop_
_atom_site_label
_atom_site_type_symbol
_atom_site_fract_x
_atom_site_fract_y
_atom_site_fract_z
Zn1 Zn 0.333 0.667 0.661
Zn2 Zn 0.667 0.333 0.339
Zn3 Zn 0.333 0.667 0.839
Zn4 Zn 0.667 0.333 0.161
Er1 Er 0.000 0.000 0.250
Er2 Er 0.000 0.000 0.750
Gd1 Gd 0.000 0.000 0.500
Gd2 Gd 0.000 0.000 0.000
Sn1 Sn 0.333 0.667 0.115
Sn2 Sn 0.667 0.333 0.885
Sn3 Sn 0.333 0.667 0.385
Sn4 Sn 0.667 0.333 0.615

=====

(6)
# Dy2ErMg3AgHg2 | OQMD via LeMat-Bulk | PBE | optimized geometry
# **Crystal system**: orthorhombic
# **Space-group type**: Amm2
data_Dy2ErMg3AgHg2
_chemical_formula_sum 'Dy2 Er1 Mg3 Ag1 Hg2'
_cell_length_a 4.146
_cell_length_b 7.758
_cell_length_c 7.758
_cell_angle_alpha 119.78
_cell_angle_beta 90.00
_cell_angle_gamma 90.00
_space_group_name_H-M_alt 'P 1'
_space_group_IT_number 1
_space_group_name_Hall 'P 1'
loop_
_atom_site_label
_atom_site_type_symbol
_atom_site_fract_x
_atom_site_fract_y
_atom_site_fract_z
Mg1 Mg 0.000 0.001 0.246
Mg2 Mg 0.000 0.246 0.001
Mg3 Mg 0.000 0.754 0.754
Er1 Er 0.500 0.409 0.409
Ag1 Ag 0.500 0.001 0.001
Hg1 Hg 0.000 0.334 0.665
Hg2 Hg 0.000 0.665 0.334
Dy1 Dy 0.500 0.590 0.000
Dy2 Dy 0.500 0.000 0.590

=====

(7)
# HfBeFeBi | OQMD via LeMat-Bulk | PBE | optimized geometry
# **Crystal system**: cubic
# **Space-group type**: F-43m
# **Excess energy over the best structure of this formula in the dataset**: 0.0 kJ/mol of atoms
data_HfBeFeBi
_chemical_formula_sum 'Hf1 Be1 Fe1 Bi1'
_cell_length_a 4.520
_cell_length_b 4.520
_cell_length_c 4.520
_cell_angle_alpha 60.00
_cell_angle_beta 60.00
_cell_angle_gamma 60.00
_space_group_name_H-M_alt 'P 1'
_space_group_IT_number 1
_space_group_name_Hall 'P 1'
loop_
_atom_site_label
_atom_site_type_symbol
_atom_site_fract_x
_atom_site_fract_y
_atom_site_fract_z
Be1 Be 0.250 0.250 0.250
Fe1 Fe 0.750 0.750 0.750
Bi1 Bi 0.000 0.000 0.000
Hf1 Hf 0.500 0.500 0.500

=====

(8)
# InNi9 | OQMD via LeMat-Bulk | PBE | optimized geometry
# **Crystal system**: tetragonal
# **Space-group type**: P4/nmm
# **Excess energy over the best structure of this formula in the dataset**: 7.1 kJ/mol of atoms
data_InNi9
_chemical_formula_sum 'In2 Ni18'
_cell_length_a 2.671
_cell_length_b 2.671
_cell_length_c 33.985
_cell_angle_alpha 90.00
_cell_angle_beta 90.00
_cell_angle_gamma 90.00
_space_group_name_H-M_alt 'P 1'
_space_group_IT_number 1
_space_group_name_Hall 'P 1'
loop_
_atom_site_label
_atom_site_type_symbol
_atom_site_fract_x
_atom_site_fract_y
_atom_site_fract_z
In1 In 0.500 0.000 0.944
In2 In 0.000 0.500 0.056
Ni1 Ni 0.000 0.500 0.344
Ni2 Ni 0.500 0.000 0.389
Ni3 Ni 0.500 0.000 0.837
Ni4 Ni 0.500 0.000 0.746
Ni5 Ni 0.000 0.500 0.791
Ni6 Ni 0.000 0.500 0.163
Ni7 Ni 0.000 0.500 0.522
Ni8 Ni 0.000 0.500 0.611
Ni9 Ni 0.500 0.000 0.116
Ni10 Ni 0.000 0.500 0.884
Ni11 Ni 0.500 0.000 0.209
Ni12 Ni 0.000 0.500 0.433
Ni13 Ni 0.500 0.000 0.656
Ni14 Ni 0.500 0.000 0.299
Ni15 Ni 0.500 0.000 0.567
Ni16 Ni 0.000 0.500 0.701
Ni17 Ni 0.500 0.000 0.478
Ni18 Ni 0.000 0.500 0.254

=====

(9)
# Cu2Ag | OQMD via LeMat-Bulk | PBE | optimized geometry
# **Energy of formation from the pure elements**: 76 meV per atom
# **Crystal system**: monoclinic
# **Space-group type**: C2/m
# **Excess energy over the best structure of this formula in the dataset**: 2.9 kJ/mol of atoms
data_Cu2Ag
_chemical_formula_sum 'Cu6 Ag3'
_cell_length_a 4.691
_cell_length_b 4.691
_cell_length_c 8.210
_cell_angle_alpha 108.04
_cell_angle_beta 108.04
_cell_angle_gamma 47.80
_space_group_name_H-M_alt 'P 1'
_space_group_IT_number 1
_space_group_name_Hall 'P 1'
loop_
_atom_site_label
_atom_site_type_symbol
_atom_site_fract_x
_atom_site_fract_y
_atom_site_fract_z
Ag1 Ag 0.500 0.500 0.000
Ag2 Ag 0.842 0.842 0.133
Ag3 Ag 0.158 0.158 0.867
Cu1 Cu 0.836 0.836 0.453
Cu2 Cu 0.179 0.179 0.248
Cu3 Cu 0.821 0.821 0.752
Cu4 Cu 0.513 0.513 0.352
Cu5 Cu 0.164 0.164 0.547
Cu6 Cu 0.487 0.487 0.648

=====

(10)
# ZnCd3 | OQMD via LeMat-Bulk | PBE | optimized geometry
# **Energy of formation from the pure elements**: 44 meV per atom
# **Crystal system**: orthorhombic
# **Space-group type**: Cmcm
data_ZnCd3
_chemical_formula_sum 'Zn2 Cd6'
_cell_length_a 5.697
_cell_length_b 5.697
_cell_length_c 9.109
_cell_angle_alpha 90.00
_cell_angle_beta 90.00
_cell_angle_gamma 146.53
_space_group_name_H-M_alt 'P 1'
_space_group_IT_number 1
_space_group_name_Hall 'P 1'
loop_
_atom_site_label
_atom_site_type_symbol
_atom_site_fract_x
_atom_site_fract_y
_atom_site_fract_z
Cd1 Cd 0.133 0.867 0.473
Cd2 Cd 0.133 0.867 0.027
Cd3 Cd 0.530 0.470 0.750
Cd4 Cd 0.867 0.133 0.527
Cd5 Cd 0.470 0.530 0.250
Cd6 Cd 0.867 0.133 0.973
Zn1 Zn 0.744 0.256 0.250
Zn2 Zn 0.256 0.744 0.750

=====

no.,total DFT energy (no corrections) (eV for the cell shown),calculated density (g/cm3)
1,-46.0,12.44
2,-20.0,5.98
3,-20.0,9.14
4,-13.8,10.29
5,-46.6,8.30
6,-25.1,8.24
7,-24.8,11.50
8,-103.0,8.81
9,-30.1,9.29
10,-7.5,8.20